Entry 1:
## Mg2TaCu (PBE-GGA)

Data for a relaxed structure of Mg2TaCu.

## Properties
E_form   0.656 eV per atom
Density   6.6 g/cm³
SG   I-42d, No. 122
Calculated total energy   -0.3035 Ry per atom
Polymorph energy (0 for the lowest one)   0.563 eV per atom

Geometry as POSCAR:
```
Mg2TaCu
1.0
7.3627 0.0000 0.0000
0.0000 7.3627 0.0000
0.0000 0.0000 5.4403
Mg Ta Cu
8 4 4
direct
0.2071 0.2500 0.1250
0.2500 0.7071 0.3750
0.2500 0.7929 0.8750
0.2929 0.2500 0.6250
0.7071 0.7500 0.6250
0.7500 0.2071 0.8750
0.7500 0.2929 0.3750
0.7929 0.7500 0.1250
0.0000 0.0000 0.5000
0.0000 0.5000 0.7500
0.5000 0.0000 0.2500
0.5000 0.5000 0.0000
0.0000 0.0000 0.0000
0.0000 0.5000 0.2500
0.5000 0.0000 0.7500
0.5000 0.5000 0.5000
```

=====

Entry 2:
## Sr3PbN (PBE-GGA)

Data for a relaxed structure of Sr3PbN.

## Properties
Density   2.7 g/cm³
SG   R3m, No. 160
Calculated total energy   -0.2589 Ry per atom
E_form (uncorrected)   -0.107 eV per atom

Geometry as POSCAR:
```
Sr3PbN
1.0
9.1767 0.0000 0.0000
-4.5883 7.9472 0.0000
0.0000 0.0000 12.0848
Sr Pb N
9 3 3
direct
0.0392 0.5196 0.0000
0.1470 0.2941 0.3333
0.1470 0.8530 0.3333
0.3726 0.1863 0.6667
0.4804 0.5196 0.0000
0.4804 0.9608 0.0000
0.7059 0.8530 0.3333
0.8137 0.1863 0.6667
0.8137 0.6274 0.6667
0.0000 0.0000 0.5294
0.3333 0.6667 0.1961
0.6667 0.3333 0.8628
0.0000 0.0000 0.3291
0.3333 0.6667 0.9958
0.6667 0.3333 0.6624
```

=====

Entry 3:
## ReSi2Au (PBE-GGA)

Data for a relaxed structure of ReSi2Au.

## Properties
Density   12.2 g/cm³
SG   P4mm, No. 99
Calculated total energy   -0.4880 Ry per atom
E_form (uncorrected)   0.003 eV per atom
Polymorph energy (0 for the lowest one)   0.022 eV per atom

Geometry as POSCAR:
```
ReSi2Au
1.0
3.3683 0.0000 0.0000
0.0000 3.3683 0.0000
0.0000 0.0000 5.2552
Re Si Au
1 2 1
direct
0.0000 0.0000 0.0000
0.0000 0.0000 0.4643
0.5000 0.5000 0.1678
0.5000 0.5000 0.6463
```

=====

Entry 4:
## Pu2Sn8Ru (PBE-GGA)

Data for a relaxed structure of Pu2Sn8Ru.

## Properties
E_form   -0.291 eV per atom
Density   9.6 g/cm³
SG   P4/mmm, No. 123
Calculated total energy   -0.4889 Ry per atom

Geometry as POSCAR:
```
Pu2Sn8Ru
1.0
4.6620 0.0000 0.0000
0.0000 4.6620 0.0000
0.0000 0.0000 12.3049
Pu Sn Ru
2 8 1
direct
0.0000 0.0000 0.1918
0.0000 0.0000 0.8082
0.0000 0.5000 0.0000
0.0000 0.5000 0.3768
0.0000 0.5000 0.6232
0.5000 0.0000 0.0000
0.5000 0.0000 0.3768
0.5000 0.0000 0.6232
0.5000 0.5000 0.1896
0.5000 0.5000 0.8104
0.0000 0.0000 0.5000
```

=====

Entry 5:
## CsLiTbSe2 (PBE-GGA)

Data for a relaxed structure of CsLiTbSe2.

## Properties
Density   4.2 g/cm³
SG   Cmme, No. 67
Calculated total energy   -0.2991 Ry per atom
E_form (uncorrected)   -1.196 eV per atom

Geometry as POSCAR:
```
CsLiTbSe2
1.0
3.6552 -7.7150 0.0000
3.6552 7.7150 0.0000
0.0000 0.0000 6.4245
Cs Li Tb Se
2 2 2 4
direct
0.2500 0.7500 0.7749
0.7500 0.2500 0.2251
0.0000 0.0000 0.0000
0.5000 0.5000 0.0000
0.2500 0.2500 0.5000
0.7500 0.7500 0.5000
0.1050 0.8950 0.2864
0.3950 0.6050 0.2864
0.6050 0.3950 0.7136
0.8950 0.1050 0.7136
```

=====

Entry 6:
## HfBe10Ru (PBE-GGA)

Data for a relaxed structure of HfBe10Ru.

## Properties
E_form   -0.190 eV per atom
Density   5.4 g/cm³
SG   Pmmm, No. 47
Calculated total energy   -0.3600 Ry per atom

Geometry as POSCAR:
```
HfBe10Ru
1.0
3.4255 0.0000 0.0000
0.0000 4.3500 0.0000
0.0000 0.0000 7.6312
Hf Be Ru
1 10 1
direct
0.0000 0.0000 0.0000
0.0000 0.0000 0.3447
0.0000 0.0000 0.6553
0.0000 0.5000 0.1864
0.0000 0.5000 0.8136
0.5000 0.0000 0.5000
0.5000 0.2509 0.2610
0.5000 0.2509 0.7390
0.5000 0.5000 0.0000
0.5000 0.7491 0.2610
0.5000 0.7491 0.7390
0.0000 0.5000 0.5000
```

=====

Entry 7:
## ZnNi3C (PBE-GGA)

Data for a relaxed structure of ZnNi3C.

## Properties
E_form   2.164 eV per atom
Density   5.4 g/cm³
SG   Pm-3m, No. 221
Calculated total energy   -0.2502 Ry per atom
Polymorph energy (0 for the lowest one)   2.219 eV per atom

Geometry as POSCAR:
```
ZnNi3C
1.0
4.2796 0.0000 0.0000
0.0000 4.2796 0.0000
0.0000 0.0000 4.2796
Zn Ni C
1 3 1
direct
0.0000 0.0000 0.0000
0.0000 0.0000 0.5000
0.0000 0.5000 0.0000
0.5000 0.0000 0.0000
0.5000 0.5000 0.5000
```

=====

Entry 8:
## LaNd6Dy2 (PBE-GGA)

Data for a relaxed structure of LaNd6Dy2.

## Properties
E_form   0.018 eV per atom
Density   7.1 g/cm³
SG   P-1, No. 2
Calculated total energy   -0.3477 Ry per atom
Polymorph energy (0 for the lowest one)   0.000 eV per atom

Geometry as POSCAR:
```
LaNd6Dy2
1.0
3.6670 0.0000 0.0000
0.0128 8.9658 0.0000
1.8311 0.0796 9.5080
La Nd Dy
1 6 2
direct
0.0000 0.0000 0.0000
0.1095 0.6640 0.7809
0.2208 0.3356 0.5581
0.3334 0.0011 0.3340
0.6666 0.9989 0.6660
0.7792 0.6644 0.4419
0.8905 0.3360 0.2191
0.4445 0.6648 0.1109
0.5555 0.3352 0.8891
```

=====

Entry 9:
## Nd2Ga3GeIr4 (PBE-GGA)

Data for a relaxed structure of Nd2Ga3GeIr4.

## Properties
E_form   -0.709 eV per atom
Density   11.7 g/cm³
SG   P-4m2, No. 115
Calculated total energy   -0.4834 Ry per atom

Geometry as POSCAR:
```
Nd2Ga3GeIr4
1.0
4.3401 0.0000 0.0000
0.0000 4.3401 0.0000
0.0000 0.0000 10.0503
Nd Ga Ge Ir
2 3 1 4
direct
0.0000 0.5000 0.2399
0.5000 0.0000 0.7601
0.0000 0.5000 0.8733
0.5000 0.0000 0.1267
0.5000 0.5000 0.5000
0.0000 0.0000 0.5000
0.0000 0.0000 0.0000
0.0000 0.5000 0.6255
0.5000 0.0000 0.3745
0.5000 0.5000 0.0000
```

=====

Entry 10:
## Ho3InGa3 (PBE-GGA)

Data for a relaxed structure of Ho3InGa3.

## Properties
E_form   -0.570 eV per atom
Density   8.3 g/cm³
SG   C2/m, No. 12
Calculated total energy   -0.3102 Ry per atom
Polymorph energy (0 for the lowest one)   0.000 eV per atom

Geometry as POSCAR:
```
Ho3InGa3
1.0
5.5412 -2.2073 0.0000
5.5412 2.2073 0.0000
-4.7104 0.0000 13.3256
Ho In Ga
6 2 6
direct
0.0116 0.0116 0.3685
0.1093 0.1093 0.9268
0.2331 0.2331 0.2174
0.7669 0.7669 0.7826
0.8907 0.8907 0.0732
0.9884 0.9884 0.6315
0.2701 0.2701 0.6079
0.7299 0.7299 0.3921
0.3804 0.3804 0.4491
0.3905 0.3905 0.9261
0.4888 0.4888 0.7806
0.5112 0.5112 0.2194
0.6095 0.6095 0.0739
0.6196 0.6196 0.5509
```

=====

Entry 11:
## LiCuGe2 (PBE-GGA)

Data for a relaxed structure of LiCuGe2.

## Properties
E_form   -0.053 eV per atom
Density   5.9 g/cm³
SG   P4/mmm, No. 123
Calculated total energy   -0.2840 Ry per atom
Polymorph energy (0 for the lowest one)   0.015 eV per atom

Geometry as POSCAR:
```
LiCuGe2
1.0
3.9552 0.0000 0.0000
0.0000 3.9552 0.0000
0.0000 0.0000 3.8679
Li Cu Ge
1 1 2
direct
0.0000 0.0000 0.0000
0.5000 0.5000 0.0000
0.0000 0.5000 0.5000
0.5000 0.0000 0.5000
```

=====

Entry 12:
## Li3Sm2PuS6 (PBE-GGA)

Data for a relaxed structure of Li3Sm2PuS6.

## Properties
Density   4.9 g/cm³
SG   C2/m, No. 12
Calculated total energy   -0.4575 Ry per atom
E_form (uncorrected)   -1.701 eV per atom

Geometry as POSCAR:
```
Li3Sm2PuS6
1.0
3.4627 -5.9979 0.0000
3.4627 5.9979 0.0000
-2.3034 0.0000 6.1702
Li Sm Pu S
3 2 1 6
direct
0.0000 0.0000 0.0000
0.3363 0.6637 0.0000
0.6637 0.3363 0.0000
0.1669 0.8331 0.5000
0.8331 0.1669 0.5000
0.5000 0.5000 0.5000
0.0850 0.4153 0.2457
0.2538 0.2538 0.7533
0.4153 0.0850 0.2457
0.5847 0.9150 0.7543
0.7462 0.7462 0.2467
0.9150 0.5847 0.7543
```

=====

Entry 13:
## SmErTh2 (PBE-GGA)

Data for a relaxed structure of SmErTh2.

## Properties
E_form   0.062 eV per atom
Density   10.1 g/cm³
SG   P4/mmm, No. 123
Calculated total energy   -0.4387 Ry per atom
Polymorph energy (0 for the lowest one)   0.032 eV per atom

Geometry as POSCAR:
```
SmErTh2
1.0
3.5567 0.0000 0.0000
0.0000 3.5567 0.0000
0.0000 0.0000 10.1911
Sm Er Th
1 1 2
direct
0.0000 0.0000 0.0000
0.0000 0.0000 0.5000
0.5000 0.5000 0.2541
0.5000 0.5000 0.7459
```

=====

Entry 14:
## Sm6IrPt2Br3 (PBE-GGA)

Data for a relaxed structure of Sm6IrPt2Br3.

## Properties
Density   8.3 g/cm³
SG   C2/m, No. 12
Calculated total energy   -0.4214 Ry per atom
E_form (uncorrected)   -1.211 eV per atom

Geometry as POSCAR:
```
Sm6IrPt2Br3
1.0
9.7591 -2.0816 0.0000
9.7591 2.0816 0.0000
-3.1014 0.0000 8.5146
Sm Ir Pt Br
6 1 2 3
direct
0.0109 0.0109 0.2157
0.3226 0.3226 0.4450
0.3485 0.3485 0.8908
0.6515 0.6515 0.1092
0.6774 0.6774 0.5550
0.9891 0.9891 0.7843
0.5000 0.5000 0.0000
0.1675 0.1675 0.3351
0.8325 0.8325 0.6649
0.1666 0.1666 0.8314
0.5000 0.5000 0.5000
0.8334 0.8334 0.1686
```

=====

Entry 15:
## HfCoSiTc (PBE-GGA)

Data for a relaxed structure of HfCoSiTc.

## Properties
Density   10.7 g/cm³
SG   F-43m, No. 216
Calculated total energy   -0.6413 Ry per atom
E_form (uncorrected)   -0.514 eV per atom

Geometry as POSCAR:
```
HfCoSiTc
1.0
6.0914 0.0000 0.0000
0.0000 6.0914 0.0000
0.0000 0.0000 6.0914
Hf Co Si Tc
4 4 4 4
direct
0.0000 0.0000 0.0000
0.0000 0.5000 0.5000
0.5000 0.0000 0.5000
0.5000 0.5000 0.0000
0.2500 0.2500 0.2500
0.2500 0.7500 0.7500
0.7500 0.2500 0.7500
0.7500 0.7500 0.2500
0.0000 0.0000 0.5000
0.0000 0.5000 0.0000
0.5000 0.0000 0.0000
0.5000 0.5000 0.5000
0.2500 0.2500 0.7500
0.2500 0.7500 0.2500
0.7500 0.2500 0.2500
0.7500 0.7500 0.7500
```

=====

Entry 16:
## Ag8Pd6Au (PBE-GGA)

Data for a relaxed structure of Ag8Pd6Au.

## Properties
E_form   0.128 eV per atom
Density   10.1 g/cm³
SG   P-3, No. 147
Calculated total energy   -0.2711 Ry per atom
Polymorph energy (0 for the lowest one)   0.021 eV per atom

Geometry as POSCAR:
```
Ag8Pd6Au
1.0
7.6539 0.0000 0.0000
-3.8269 6.6284 0.0000
0.0000 0.0000 5.5107
Ag Pd Au
8 6 1
direct
0.0116 0.3349 0.3845
0.3233 0.9884 0.3845
0.3333 0.6667 0.7921
0.3349 0.3233 0.6155
0.6651 0.6767 0.3845
0.6667 0.3333 0.2079
0.6767 0.0116 0.6155
0.9884 0.6651 0.6155
0.0350 0.6735 0.1145
0.3265 0.3616 0.1145
0.3616 0.0350 0.8855
0.6384 0.9650 0.1145
0.6735 0.6384 0.8855
0.9650 0.3265 0.8855
0.0000 0.0000 0.0000
```

=====

Entry 17:
## Mg5Co (PBE-GGA)

Data for a relaxed structure of Mg5Co.

## Properties
E_form   0.056 eV per atom
Density   2.6 g/cm³
SG   C2/m, No. 12
Calculated total energy   -0.1806 Ry per atom
Polymorph energy (0 for the lowest one)   0.000 eV per atom

Geometry as POSCAR:
```
Mg5Co
1.0
10.6367 0.0000 0.0000
0.0000 3.1686 0.0000
-2.7441 0.0000 6.9445
Mg Co
10 2
direct
0.0000 0.0000 0.0000
0.1382 0.5000 0.3645
0.1641 0.5000 0.7877
0.3359 0.0000 0.2123
0.3618 0.0000 0.6355
0.5000 0.5000 0.0000
0.6382 0.0000 0.3645
0.6641 0.0000 0.7877
0.8359 0.5000 0.2123
0.8618 0.5000 0.6355
0.0000 0.0000 0.5000
0.5000 0.5000 0.5000
```

=====

Entry 18:
## TaCu2Ir (PBE-GGA)

Data for a relaxed structure of TaCu2Ir.

## Properties
E_form   0.490 eV per atom
Density   13.4 g/cm³
SG   I-42d, No. 122
Calculated total energy   -0.4951 Ry per atom
Polymorph energy (0 for the lowest one)   0.689 eV per atom

Geometry as POSCAR:
```
TaCu2Ir
1.0
6.9629 0.0000 0.0000
0.0000 6.9629 0.0000
0.0000 0.0000 5.0999
Ta Cu Ir
4 8 4
direct
0.0000 0.0000 0.0000
0.0000 0.5000 0.2500
0.5000 0.0000 0.7500
0.5000 0.5000 0.5000
0.2410 0.2500 0.6250
0.2500 0.7410 0.8750
0.2500 0.7590 0.3750
0.2590 0.2500 0.1250
0.7410 0.7500 0.1250
0.7500 0.2410 0.3750
0.7500 0.2590 0.8750
0.7590 0.7500 0.6250
0.0000 0.0000 0.5000
0.0000 0.5000 0.7500
0.5000 0.0000 0.2500
0.5000 0.5000 0.0000
```

=====

Entry 19:
## Ce2ErAs2Se2 (PBE-GGA)

Data for a relaxed structure of Ce2ErAs2Se2.

## Properties
Density   6.1 g/cm³
SG   I4/mmm, No. 139
Calculated total energy   -0.4306 Ry per atom
E_form (uncorrected)   -1.188 eV per atom

Geometry as POSCAR:
```
Ce2ErAs2Se2
1.0
5.2875 0.0000 0.0000
0.0000 5.2875 0.0000
0.0000 0.0000 14.5894
Ce Er As Se
4 2 4 4
direct
0.0000 0.0000 0.1193
0.0000 0.0000 0.8807
0.5000 0.5000 0.3807
0.5000 0.5000 0.6193
0.0000 0.0000 0.5000
0.5000 0.5000 0.0000
0.0000 0.5000 0.0000
0.0000 0.5000 0.5000
0.5000 0.0000 0.0000
0.5000 0.0000 0.5000
0.0000 0.0000 0.3084
0.0000 0.0000 0.6916
0.5000 0.5000 0.1916
0.5000 0.5000 0.8084
```

=====

Entry 20:
## KAc2PaSe6 (PBE-GGA)

Data for a relaxed structure of KAc2PaSe6.

## Properties
Density   5.6 g/cm³
SG   R3, No. 146
Calculated total energy   -0.4147 Ry per atom
E_form (uncorrected)   -1.670 eV per atom

Geometry as POSCAR:
```
KAc2PaSe6
1.0
3.8861 2.2436 6.8186
-3.8861 2.2436 6.8186
0.0000 -4.4873 6.8186
K Ac Pa Se
1 2 1 6
direct
0.0000 0.0000 0.0000
0.2746 0.2746 0.2746
0.7912 0.7912 0.7912
0.4757 0.4757 0.4757
0.0995 0.6461 0.4174
0.2278 0.5777 0.8394
0.4174 0.0995 0.6461
0.5777 0.8394 0.2278
0.6461 0.4174 0.0995
0.8394 0.2278 0.5777
```